The following is a PBE-GGA calculation of K2RbAlSb2 after structural relaxation, from Alexandria via LeMat-Bulk.

Cell lengths 9.048, 7.321, 9.333 Å; angles 113.09, 119.00, 90.00 degrees
Fractional coordinates of all 12 atoms:
K 0.504 0.180 0.361
K 0.496 0.820 0.639
K 0.143 0.320 0.639
K 0.857 0.680 0.361
Rb 0.000 0.750 0.000
Rb 0.000 0.250 0.000
Al 0.500 0.750 0.000
Al 0.500 0.250 0.000
Sb 0.769 0.092 0.183
Sb 0.414 0.592 0.183
Sb 0.586 0.408 0.817
Sb 0.231 0.908 0.817

## Properties
E_form (uncorrected) ... -9.733 kcal/mol of atoms
Total energy ... -35.36 eV for the cell shown
Spin magnetization ... 0.0 μB/cell

***

The following is a PBE-GGA calculation of K2Rb4AlSn2 after structural relaxation, from Alexandria via LeMat-Bulk.

Cell lengths 6.967, 8.955, 8.955 Å; angles 55.76, 73.54, 73.54 degrees
Fractional coordinates of all 9 atoms:
K 0.245 0.638 0.638
K 0.755 0.362 0.362
Rb 0.222 0.639 0.102
Rb 0.778 0.898 0.361
Rb 0.778 0.361 0.898
Rb 0.222 0.102 0.639
Al 0.500 0.000 0.000
Sn 0.251 0.164 0.164
Sn 0.749 0.836 0.836

## Properties
Energy of formation ... -0.0257 eV/atom
Total energy ... -18.04 eV for the cell shown
Spin magnetization ... 0.7 μB/cell

***

The following is a PBE-GGA calculation of K4Rb2AlSn2 after structural relaxation, from Alexandria via LeMat-Bulk.

Cell lengths 6.397, 8.799, 8.799 Å; angles 58.42, 76.28, 76.28 degrees
Fractional coordinates of all 9 atoms:
K 0.187 0.647 0.094
K 0.813 0.906 0.353
K 0.813 0.353 0.906
K 0.187 0.094 0.647
Rb 0.299 0.642 0.642
Rb 0.701 0.358 0.358
Al 0.500 0.000 0.000
Sn 0.284 0.172 0.172
Sn 0.716 0.828 0.828

## Properties
Energy of formation ... -0.0590 eV/atom
Total energy ... -18.60 eV for the cell shown
Spin magnetization ... 0.8 μB/cell